# 1
Density functional theory data (GGA-PBE) for crystalline InReBr2 at its relaxed geometry.

a = 3.296 Å, b = 4.402 Å, c = 7.758 Å
α = 73.43°, β = 90.00°, γ = 90.00°
Atoms (fractional coordinates):
Br 0.500 0.154 0.319
Re 0.500 0.982 0.660
Br 0.000 0.850 0.922
In 0.000 0.513 0.599

Results
The value obtained for the magnetization is 0.00 μB per formula unit. As for the crystal system: monoclinic. The calculation puts the formation energy (no corrections) at 0.169 eV/atom. For the calculated total energy, the calculation gives -4.46 eV/atom. As for the symmetry: Pm, No. 6.

***

# 2
Density functional theory data (GGA-PBE) for crystalline Hf4CoH at its relaxed geometry.

a = 5.726 Å, b = 5.722 Å, c = 7.529 Å
α = 112.31°, β = 112.32°, γ = 90.06°
Atoms (fractional coordinates):
Hf 0.689 0.348 0.404
Hf 0.056 0.689 0.905
Co 0.375 0.625 0.250
Hf 0.944 0.311 0.095
Hf 0.785 0.944 0.596
Hf 0.652 0.785 0.095
Hf 0.348 0.215 0.905
H 0.125 0.875 0.749
Co 0.625 0.375 0.750
Hf 0.215 0.056 0.404
H 0.875 0.125 0.251
Hf 0.311 0.652 0.596

Results
The value obtained for the magnetization is 0.00 μB per formula unit. As for the crystal system: monoclinic. For the calculated total energy, the calculation gives -8.57 eV/atom. As for the symmetry: C2/c, No. 15.

***

# 3
Density functional theory data (GGA-PBE) for crystalline NdPaIn2 at its relaxed geometry.

a = 3.322 Å, b = 3.322 Å, c = 11.411 Å
α = 81.63°, β = 81.63°, γ = 60.00°
Atoms (fractional coordinates):
In 0.749 0.749 0.753
In 0.251 0.251 0.247
Nd 0.500 0.500 0.500
Pa 0.000 0.000 0.000

Results
For the formation energy, the calculation gives -98 meV per atom. The value obtained for the magnetization is 0.00 μB per formula unit. As for the crystal system: trigonal. For the calculated total energy, the calculation gives -5.03 eV/atom. As for the symmetry: R-3m, No. 166.

***

Copy entry 1 word for word.
Density functional theory data (GGA-PBE) for crystalline InReBr2 at its relaxed geometry.

a = 3.296 Å, b = 4.402 Å, c = 7.758 Å
α = 73.43°, β = 90.00°, γ = 90.00°
Atoms (fractional coordinates):
Br 0.500 0.154 0.319
Re 0.500 0.982 0.660
Br 0.000 0.850 0.922
In 0.000 0.513 0.599

Results
The value obtained for the magnetization is 0.00 μB per formula unit. As for the crystal system: monoclinic. The calculation puts the formation energy (no corrections) at 0.169 eV/atom. For the calculated total energy, the calculation gives -4.46 eV/atom. As for the symmetry: Pm, No. 6.